Entry 1:
KI: relaxed, PBE.

POSCAR file:
```
KI
1.0
-10.942 -4.300 5.448
10.315 2.635 7.387
-1.962 5.830 0.661
K I
6 6
direct
0.663 0.066 0.250
0.597 0.663 0.750
0.934 0.597 0.250
0.337 0.934 0.750
0.403 0.337 0.250
0.066 0.403 0.750
0.931 0.326 0.250
0.605 0.931 0.750
0.674 0.605 0.250
0.069 0.674 0.750
0.395 0.069 0.250
0.326 0.395 0.750
```

Summary:
Total moment in μB/cell: 0.23
V in Å³ per cell: 899.7
E_form (uncorrected) in eV per atom: -1.3826


Entry 2:
NaDyAu4: relaxed, PBE.

POSCAR file:
```
NaDyAu4
1.0
5.605 0.000 0.000
2.803 4.854 0.000
2.803 1.618 4.577
Na Au Dy
1 4 1
direct
0.250 0.250 0.250
0.625 0.625 0.126
0.625 0.126 0.625
0.625 0.625 0.625
0.126 0.625 0.625
0.000 0.000 0.000
```

Summary:
Total moment in μB/cell: 0.00
V in Å³ per cell: 124.5
Formation enthalpy at 0 K in eV/atom: -0.4342


Entry 3:
SrMnIN2: relaxed, PBE.

POSCAR file:
```
SrMnIN2
1.0
-2.681 -3.009 -0.539
2.132 -2.354 2.539
-2.836 1.801 4.052
I Sr Mn N
1 1 1 2
direct
0.000 0.000 0.500
0.500 0.500 0.500
0.000 0.000 0.000
0.000 0.500 0.000
0.500 0.000 0.000
```

Summary:
Total moment in μB/cell: 0.09
V in Å³ per cell: 87.0
ΔE to the lowest computed polymorph in meV/atom: 0
E_form (uncorrected) in eV per atom: 0.4342


Entry 4:
YNiP2Ru: relaxed, PBE.

POSCAR file:
```
YNiP2Ru
1.0
-1.040 1.881 3.257
-0.069 -3.388 1.934
5.289 1.331 -1.417
Y Ni P Ru
1 1 2 1
direct
0.000 0.000 0.000
0.750 0.250 0.500
0.618 0.618 0.236
0.382 0.382 0.764
0.250 0.750 0.500
```

Summary:
Total moment in μB/cell: 0.00
V in Å³ per cell: 74.8
Formation enthalpy at 0 K in eV/atom: -0.9376


Entry 5:
Y6CdTc2: relaxed, PBE.

POSCAR file:
```
Y6CdTc2
1.0
8.018 -0.032 -3.010
-4.222 7.069 -2.356
-0.169 0.032 8.562
Y Cd Tc
12 2 4
direct
0.528 0.717 0.810
0.472 0.283 0.190
0.093 0.283 0.810
0.907 0.717 0.190
0.789 0.766 0.555
0.211 0.234 0.445
0.211 0.766 0.977
0.789 0.234 0.023
0.706 0.390 0.684
0.294 0.610 0.316
0.294 0.978 0.684
0.706 0.022 0.316
0.000 0.500 0.500
0.000 0.000 0.000
0.500 0.386 0.886
0.500 0.614 0.114
0.628 0.000 0.628
0.372 0.000 0.372
```

Summary:
Total moment in μB/cell: 0.00
V in Å³ per cell: 481.5
Formation enthalpy at 0 K in eV/atom: -0.1286


Entry 6:
ZrSiRuRh2: relaxed, PBE.

POSCAR file:
```
ZrSiRuRh2
1.0
-3.445 2.486 2.178
-3.242 -2.012 -2.832
-0.559 -3.540 3.155
Ru Si Rh Zr
1 1 2 1
direct
0.000 0.500 0.000
0.500 0.500 0.500
0.000 0.000 0.500
0.500 0.000 0.000
0.000 0.000 0.000
```

Summary:
Total moment in μB/cell: 0.02
V in Å³ per cell: 108.3
E_form (uncorrected) in eV per atom: 1.3389


Entry 7:
SrAl3Tc: relaxed, PBE.

POSCAR file:
```
SrAl3Tc
1.0
4.811 0.000 0.000
0.000 4.811 0.000
2.405 2.405 11.604
Sr Tc Al
2 2 6
direct
0.000 0.000 0.000
0.250 0.750 0.500
0.699 0.199 0.602
0.801 0.301 0.398
0.624 0.866 0.267
0.134 0.376 0.733
0.134 0.891 0.733
0.109 0.866 0.267
0.340 0.340 0.319
0.660 0.660 0.681
```

Summary:
Total moment in μB/cell: 0.00
V in Å³ per cell: 268.5
ΔE to the lowest computed polymorph in meV/atom: 615
Formation enthalpy at 0 K in eV/atom: 0.2927


Entry 8:
Ca2PrCu: relaxed, PBE.

POSCAR file:
```
Ca2PrCu
1.0
-1.451 -3.541 0.292
1.831 1.835 6.091
-9.488 4.023 1.640
Ca Pr Cu
4 2 2
direct
0.362 0.724 0.567
0.638 0.276 0.433
0.362 0.724 0.933
0.638 0.276 0.067
0.919 0.836 0.250
0.081 0.164 0.750
0.751 0.504 0.750
0.249 0.496 0.250
```

Summary:
Total moment in μB/cell: 0.00
V in Å³ per cell: 253.7
ΔE to the lowest computed polymorph in meV/atom: 0
Formation enthalpy at 0 K in eV/atom: -0.0176


Entry 9:
Ac4PmHg3: relaxed, PBE.

POSCAR file:
```
Ac4PmHg3
1.0
3.966 0.000 0.000
0.000 5.853 0.000
0.000 0.000 11.874
Ac Hg Pm
4 3 1
direct
0.000 0.000 0.500
0.000 0.500 0.736
0.000 0.000 0.000
0.000 0.500 0.264
0.500 0.000 0.241
0.500 0.500 0.500
0.500 0.000 0.759
0.500 0.500 0.000
```

Summary:
Total moment in μB/cell: 0.00
V in Å³ per cell: 275.6
Formation enthalpy at 0 K in eV/atom: -0.3028


Entry 10:
CeSmTcIr: relaxed, PBE.

POSCAR file:
```
CeSmTcIr
1.0
4.928 0.000 0.000
2.464 4.268 0.000
2.464 1.423 4.024
Ir Ce Sm Tc
1 1 1 1
direct
0.750 0.750 0.750
0.500 0.500 0.500
0.000 0.000 0.000
0.250 0.250 0.250
```

Summary:
Total moment in μB/cell: 0.00
V in Å³ per cell: 84.6
Formation enthalpy at 0 K in eV/atom: -0.2672